1.
# BaRuPb3

An optimized crystal structure of BaRuPb3 (GGA-PBE, the Alexandria database).

a = 5.407 Å, b = 5.407 Å, c = 5.407 Å
α = 90.00°, β = 90.00°, γ = 90.00°
Atoms (fractional coordinates):
Ba (0.000, 0.000, 0.000)
Ru (0.500, 0.500, 0.500)
Pb (0.000, 0.500, 0.500)
Pb (0.500, 0.000, 0.500)
Pb (0.500, 0.500, 0.000)

Computed properties:
spin magnetization = 0.00 μB/cell
N(E_F) = 1.834 states/eV per atom
E_form = 52 meV per atom

---

2.
# BaPb3S

An optimized crystal structure of BaPb3S (GGA-PBE, the Alexandria database).

a = 5.637 Å, b = 5.637 Å, c = 5.637 Å
α = 90.00°, β = 90.00°, γ = 90.00°
Atoms (fractional coordinates):
Ba (0.000, 0.000, 0.000)
Pb (0.000, 0.500, 0.500)
Pb (0.500, 0.000, 0.500)
Pb (0.500, 0.500, 0.000)
S (0.500, 0.500, 0.500)

Computed properties:
spin magnetization = 0.00 μB/cell
N(E_F) = 0.605 states/eV per atom
ΔE_f (raw) = -0.21 eV/atom

---

3.
# Ba2PbS3

An optimized crystal structure of Ba2PbS3 (GGA-PBE, the Alexandria database).

a = 7.728 Å, b = 7.728 Å, c = 7.728 Å
α = 146.47°, β = 131.78°, γ = 60.01°
Atoms (fractional coordinates):
Ba (0.166, 0.166, 0.000)
Ba (0.834, 0.834, 0.000)
Pb (0.500, 0.500, 0.000)
S (0.000, 0.500, 0.500)
S (0.340, 0.840, 0.500)
S (0.660, 0.160, 0.500)

Computed properties:
spin magnetization = 0.00 μB/cell
N(E_F) = 0.000 states/eV per atom
ΔE_f (raw) = -1.56 eV/atom

---

4.
# BaPb5S5

An optimized crystal structure of BaPb5S5 (GGA-PBE, the Alexandria database).

a = 7.301 Å, b = 7.301 Å, c = 8.492 Å
α = 106.49°, β = 106.49°, γ = 48.95°
Atoms (fractional coordinates):
Ba (0.000, 0.000, 0.000)
Pb (0.000, 0.000, 0.500)
Pb (0.337, 0.337, 0.177)
Pb (0.342, 0.342, 0.658)
Pb (0.658, 0.658, 0.342)
Pb (0.663, 0.663, 0.823)
S (0.173, 0.173, 0.344)
S (0.181, 0.181, 0.834)
S (0.500, 0.500, 0.000)
S (0.819, 0.819, 0.166)
S (0.827, 0.827, 0.656)

Computed properties:
spin magnetization = 0.00 μB/cell
N(E_F) = 0.182 states/eV per atom
ΔE_f (raw) = -0.67 eV/atom

---

Which value of spin magnetization does entry 2 give? 0.00 μB/cell

---

Which of these has the highest N(E_F)? BaRuPb3

---

Look up the N(E_F) of the first one. 1.834 states/eV per atom

---

What is the formula in the first record? BaRuPb3